Compound: PbWSO2
Source: Alexandria via LeMat-Bulk
Functional: PBE with a Hubbard U
Structure: optimized geometry

The value obtained for the total DFT energy (no corrections) is -30.6 eV/cell.

The structure belongs to space group P4/mmm (No. 123); the cell edges are 4.054, 4.054 and 5.186 Å and the angles 90.00°, 90.00° and 90.00°. Symmetry generates all atoms from Pb at (0.000, 0.000, 0.000), W at (0.500, 0.500, 0.500), S at (0.500, 0.500, 0.000) and O at (0.000, 0.500, 0.500).